Entry 1:
{"formula": "LiAs3H", "functional": "GGA-PBE", "state": "relaxed", "lattice_angstrom": [[4.2819, 0.0000, 0.0000], [0.0000, 4.2819, 0.0000], [0.0000, 0.0000, 4.2819]], "species": ["Li", "As", "As", "As", "H"], "fractional_positions": [[0.0000, 0.0000, 0.0000], [0.0000, 0.5000, 0.5000], [0.5000, 0.0000, 0.5000], [0.5000, 0.5000, 0.0000], [0.5000, 0.5000, 0.5000]], "final_energy_ev_per_fu": -17.9}

***

Entry 2:
{"formula": "Li8As2H", "functional": "GGA-PBE", "state": "relaxed", "lattice_angstrom": [[7.3532, -2.1521, 0.0000], [7.3532, 2.1521, 0.0000], [-1.0097, 0.0000, 5.2241]], "species": ["Li", "Li", "Li", "Li", "Li", "Li", "Li", "Li", "As", "As", "H"], "fractional_positions": [[0.0259, 0.0259, 0.2683], [0.2276, 0.2276, 0.1492], [0.3316, 0.3316, 0.6026], [0.4126, 0.4126, 0.1834], [0.5874, 0.5874, 0.8166], [0.6684, 0.6684, 0.3974], [0.7724, 0.7724, 0.8508], [0.9741, 0.9741, 0.7317], [0.1553, 0.1553, 0.6676], [0.8447, 0.8447, 0.3324], [0.5000, 0.5000, 0.0000]], "final_energy_ev_per_fu": -33.3}

***

Entry 3:
{"formula": "Li7As2H2", "functional": "GGA-PBE", "state": "relaxed", "lattice_angstrom": [[4.3545, -3.4663, 0.0000], [4.3545, 3.4663, 0.0000], [-0.0034, 0.0000, 5.2310]], "species": ["Li", "Li", "Li", "Li", "Li", "Li", "Li", "As", "As", "H", "H"], "fractional_positions": [[0.0000, 0.0000, 0.0000], [0.0008, 0.4996, 0.7481], [0.4994, 0.4994, 0.2281], [0.4996, 0.0008, 0.7481], [0.5004, 0.9992, 0.2519], [0.5006, 0.5006, 0.7719], [0.9992, 0.5004, 0.2519], [0.2020, 0.7980, 0.5000], [0.7980, 0.2020, 0.5000], [0.2985, 0.2985, 0.9998], [0.7015, 0.7015, 0.0002]], "final_energy_ev_per_fu": -33.8}

***

Entry 4:
{"formula": "Li2AsH2", "functional": "GGA-PBE", "state": "relaxed", "lattice_angstrom": [[3.1217, 0.0000, 0.0000], [0.0000, 5.1099, 0.0000], [0.0000, 0.0000, 7.1064]], "species": ["Li", "Li", "Li", "Li", "As", "As", "H", "H", "H", "H"], "fractional_positions": [[0.0000, 0.0000, 0.1976], [0.0000, 0.0000, 0.8024], [0.5000, 0.5000, 0.3024], [0.5000, 0.5000, 0.6976], [0.0000, 0.5000, 0.0000], [0.5000, 0.0000, 0.5000], [0.0000, 0.4216, 0.5000], [0.0000, 0.5784, 0.5000], [0.5000, 0.0784, 0.0000], [0.5000, 0.9216, 0.0000]], "final_energy_ev_per_fu": -16.4}

***

Entry 5:
{"formula": "Li4AsH2", "functional": "GGA-PBE", "state": "relaxed", "lattice_angstrom": [[5.3749, 0.0000, 0.0000], [-1.4505, 5.8971, 0.0000], [-0.6216, -2.4861, 5.6808]], "species": ["Li", "Li", "Li", "Li", "Li", "Li", "Li", "Li", "As", "As", "H", "H", "H", "H"], "fractional_positions": [[0.0000, 0.0000, 0.0000], [0.0186, 0.4254, 0.8926], [0.1071, 0.7331, 0.6057], [0.3502, 0.9199, 0.2848], [0.3875, 0.4510, 0.3696], [0.4781, 0.6497, 0.8573], [0.5206, 0.2263, 0.0038], [0.8444, 0.2022, 0.4246], [0.6621, 0.9106, 0.6300], [0.8258, 0.7462, 0.2442], [0.1564, 0.4259, 0.5968], [0.2096, 0.7921, 0.9439], [0.2126, 0.3081, 0.0536], [0.5448, 0.2125, 0.2926]], "final_energy_ev_per_fu": -21.9}

***

Entry 6:
{"formula": "Li6As2H", "functional": "GGA-PBE", "state": "relaxed", "lattice_angstrom": [[5.2032, 0.0000, 0.0000], [0.0000, 7.5145, 0.0000], [-3.8394, 0.0000, 6.7653]], "species": ["Li", "Li", "Li", "Li", "Li", "Li", "Li", "Li", "Li", "Li", "Li", "Li", "As", "As", "As", "As", "H", "H"], "fractional_positions": [[0.1620, 0.1134, 0.4682], [0.1620, 0.3866, 0.9682], [0.2980, 0.0516, 0.1905], [0.2980, 0.4484, 0.6905], [0.3044, 0.7470, 0.4349], [0.3044, 0.7530, 0.9349], [0.6956, 0.2470, 0.0651], [0.6956, 0.2530, 0.5651], [0.7020, 0.5516, 0.3095], [0.7020, 0.9484, 0.8095], [0.8380, 0.6134, 0.0318], [0.8380, 0.8866, 0.5318], [0.2027, 0.0956, 0.8133], [0.2027, 0.4044, 0.3133], [0.7973, 0.5956, 0.6867], [0.7973, 0.9044, 0.1867], [0.5000, 0.0000, 0.5000], [0.5000, 0.5000, 0.0000]], "final_energy_ev_per_fu": -29.0}

***

Entry 7:
{"formula": "LiAsH3", "functional": "GGA-PBE", "state": "relaxed", "lattice_angstrom": [[3.8320, 0.0000, 0.0000], [0.0000, 3.8320, 0.0000], [0.0000, 0.0000, 3.8320]], "species": ["Li", "As", "H", "H", "H"], "fractional_positions": [[0.0000, 0.0000, 0.0000], [0.5000, 0.5000, 0.5000], [0.0000, 0.5000, 0.5000], [0.5000, 0.0000, 0.5000], [0.5000, 0.5000, 0.0000]], "final_energy_ev_per_fu": -15.3}

***

Entry 8:
{"formula": "LiAsH2", "functional": "GGA-PBE", "state": "relaxed", "lattice_angstrom": [[3.9853, 0.0000, 0.0000], [0.0000, 3.9853, 0.0000], [0.0000, 0.0000, 11.9264]], "species": ["Li", "Li", "Li", "Li", "As", "As", "As", "As", "H", "H", "H", "H", "H", "H", "H", "H"], "fractional_positions": [[0.0000, 0.0000, 0.0000], [0.0000, 0.5000, 0.2500], [0.5000, 0.0000, 0.7500], [0.5000, 0.5000, 0.5000], [0.0000, 0.0000, 0.5000], [0.0000, 0.5000, 0.7500], [0.5000, 0.0000, 0.2500], [0.5000, 0.5000, 0.0000], [0.1097, 0.2500, 0.6250], [0.2500, 0.6097, 0.8750], [0.2500, 0.8903, 0.3750], [0.3903, 0.2500, 0.1250], [0.6097, 0.7500, 0.1250], [0.7500, 0.1097, 0.3750], [0.7500, 0.3903, 0.8750], [0.8903, 0.7500, 0.6250]], "final_energy_ev_per_fu": -12.7}

***

Entry 9:
{"formula": "Li4AsH2", "functional": "GGA-PBE", "state": "relaxed", "lattice_angstrom": [[5.6806, 0.0000, 0.0000], [-1.5334, 5.7391, 0.0000], [-1.6443, -1.5264, 5.8503]], "species": ["Li", "Li", "Li", "Li", "Li", "Li", "Li", "Li", "As", "As", "H", "H", "H", "H"], "fractional_positions": [[0.0000, 0.0000, 0.0000], [0.0162, 0.4615, 0.4961], [0.1293, 0.4886, 0.0457], [0.3241, 0.8828, 0.3984], [0.4077, 0.3828, 0.4675], [0.4283, 0.8662, 0.8343], [0.6292, 0.5060, 0.9904], [0.8313, 0.9658, 0.3420], [0.2013, 0.1676, 0.7351], [0.7436, 0.2077, 0.6942], [0.0553, 0.2612, 0.2415], [0.3389, 0.6558, 0.5500], [0.4826, 0.7549, 0.1133], [0.9794, 0.7516, 0.1634]], "final_energy_ev_per_fu": -21.8}

***

Entry 10:
{"formula": "LiAs3H", "functional": "GGA-PBE", "state": "relaxed", "lattice_angstrom": [[4.5192, 0.0000, 0.0000], [0.0000, 4.5192, 0.0000], [0.0000, 0.0000, 4.5192]], "species": ["Li", "As", "As", "As", "H"], "fractional_positions": [[0.0000, 0.0000, 0.0000], [0.0000, 0.0000, 0.5000], [0.0000, 0.5000, 0.0000], [0.5000, 0.0000, 0.0000], [0.5000, 0.5000, 0.5000]], "final_energy_ev_per_fu": -14.6}

***

Entry 11:
{"formula": "LiAsH2", "functional": "GGA-PBE", "state": "relaxed", "lattice_angstrom": [[5.3176, 0.0000, 0.0000], [0.0000, 5.3176, 0.0000], [0.0000, 0.0000, 5.3176]], "species": ["Li", "Li", "Li", "Li", "As", "As", "As", "As", "H", "H", "H", "H", "H", "H", "H", "H"], "fractional_positions": [[0.0000, 0.0000, 0.0000], [0.0000, 0.5000, 0.5000], [0.5000, 0.0000, 0.5000], [0.5000, 0.5000, 0.0000], [0.0000, 0.0000, 0.5000], [0.0000, 0.5000, 0.0000], [0.5000, 0.0000, 0.0000], [0.5000, 0.5000, 0.5000], [0.2500, 0.2500, 0.2500], [0.2500, 0.2500, 0.7500], [0.2500, 0.7500, 0.2500], [0.2500, 0.7500, 0.7500], [0.7500, 0.2500, 0.2500], [0.7500, 0.2500, 0.7500], [0.7500, 0.7500, 0.2500], [0.7500, 0.7500, 0.7500]], "final_energy_ev_per_fu": -11.8}

***

Entry 12:
{"formula": "LiAsH3", "functional": "GGA-PBE", "state": "relaxed", "lattice_angstrom": [[3.4092, 0.0000, 0.0000], [0.0000, 3.4092, 0.0000], [0.0000, 0.0000, 3.4092]], "species": ["Li", "As", "H", "H", "H"], "fractional_positions": [[0.0000, 0.0000, 0.0000], [0.5000, 0.5000, 0.5000], [0.0000, 0.0000, 0.5000], [0.0000, 0.5000, 0.0000], [0.5000, 0.0000, 0.0000]], "final_energy_ev_per_fu": -13.9}